1.
Density functional theory data (PBE) for an optimized crystal structure of Ga3SnHg.

Computed properties:
SG	No. 14
distance to the lowest polymorph of the same formula	0.00	kcal/mol of atoms
ΔE_f	0.048	eV/atom
total DFT energy (no corrections)	-52.57	eV for the cell shown

Unit cell a=6.6746 b=6.0949 c=11.4455 alpha=93.32 beta=90.00 gamma=90.00
With the nearest neighbours (Å) after each atom.
Fractional positions:
1 Ga 0.0046 0.2217 0.3460  3 Ga 2.55-2.77
2 Ga 0.9954 0.7783 0.6540  3 Ga 2.55-2.77
3 Ga 0.5046 0.7783 0.1540  3 Ga 2.55-2.77
4 Ga 0.4954 0.2217 0.8460  3 Ga 2.55-2.77
5 Ga 0.4984 0.6470 0.3619  3 Ga 2.55-2.68, 1 Hg 2.81
6 Ga 0.5016 0.3530 0.6381  3 Ga 2.55-2.68, 1 Hg 2.81
7 Ga 0.9984 0.3530 0.1381  3 Ga 2.55-2.68, 1 Hg 2.81
8 Ga 0.0016 0.6470 0.8619  3 Ga 2.55-2.68, 1 Hg 2.81
9 Ga 0.2128 0.5002 0.5016  5 Ga 2.67-2.84
10 Ga 0.7872 0.4998 0.4984  5 Ga 2.67-2.84
11 Ga 0.7128 0.4998 0.9984  5 Ga 2.67-2.84
12 Ga 0.2872 0.5002 0.0016  5 Ga 2.67-2.84
13 Sn 0.2647 0.9987 0.5014  6 Ga 2.88-3.08, 1 Sn 3.14
14 Sn 0.7353 0.0013 0.4986  6 Ga 2.88-3.08, 1 Sn 3.14
15 Sn 0.7647 0.0013 0.9986  6 Ga 2.88-3.08, 1 Sn 3.14
16 Sn 0.2353 0.9987 0.0014  6 Ga 2.88-3.08, 1 Sn 3.14
17 Hg 0.9988 0.7739 0.2529  2 Ga 2.81-2.87
18 Hg 0.0012 0.2261 0.7471  2 Ga 2.81-2.87
19 Hg 0.4988 0.2261 0.2471  2 Ga 2.81-2.87
20 Hg 0.5012 0.7739 0.7529  2 Ga 2.81-2.87

---

2.
Density functional theory data (PBE) for an optimized crystal structure of GaSnHg.

Computed properties:
SG	No. 129
distance to the lowest polymorph of the same formula	0.00	kcal/mol of atoms
ΔE_f	0.046	eV/atom
total DFT energy (no corrections)	-14.39	eV for the cell shown

Unit cell a=3.5868 b=3.5868 c=11.4660 alpha=90.00 beta=90.00 gamma=90.00
With the nearest neighbours (Å) after each atom.
Fractional positions:
1 Ga 0.7500 0.7500 0.5598  4 Ga 2.88, 5 Sn 3.07-3.10
2 Ga 0.2500 0.2500 0.4402  4 Ga 2.88, 5 Sn 3.07-3.10
3 Sn 0.2499 0.2499 0.7108  5 Ga 3.07-3.10, 4 Hg 3.41-3.42
4 Sn 0.7501 0.7501 0.2892  5 Ga 3.07-3.10, 4 Hg 3.41-3.42
5 Hg 0.2501 0.2501 0.0897  8 Hg 3.26-3.59, 4 Sn 3.41-3.42
6 Hg 0.7499 0.7499 0.9103  8 Hg 3.26-3.59, 4 Sn 3.41-3.42

---

3.
Density functional theory data (PBE) for an optimized crystal structure of Ga2Sn2Hg.

Computed properties:
SG	No. 12
distance to the lowest polymorph of the same formula	0.39	kcal/mol of atoms
ΔE_f	0.091	eV/atom
total DFT energy (no corrections)	-13.91	eV for the cell shown

Unit cell a=5.1780 b=5.1777 c=5.6286 alpha=106.85 beta=106.85 gamma=104.65
With the nearest neighbours (Å) after each atom.
Fractional positions:
1 Ga 0.4570 0.4570 0.7517  1 Ga 2.58
2 Ga 0.5430 0.5430 0.2483  1 Ga 2.58
3 Sn 0.2021 0.7979 0.5000  4 Ga 2.90-3.04
4 Sn 0.7979 0.2021 0.5000  4 Ga 2.90-3.04
5 Hg 0.0000 0.0000 0.0000  2 Ga 3.03, 4 Sn 3.27

---

4.
Density functional theory data (PBE) for an optimized crystal structure of Ga6SnHg2.

Computed properties:
SG	No. 12
ΔE_f	0.155	eV/atom
total DFT energy (no corrections)	-21.38	eV for the cell shown

Unit cell a=10.8340 b=6.7197 c=6.7197 alpha=69.81 beta=46.21 gamma=46.21
With the nearest neighbours (Å) after each atom.
Fractional positions:
1 Ga 0.1692 0.4756 0.8525  2 Ga 2.49, 1 Hg 2.73, 1 Sn 2.78
2 Ga 0.8308 0.1475 0.5244  2 Ga 2.49, 1 Hg 2.73, 1 Sn 2.78
3 Ga 0.8308 0.5244 0.1475  2 Ga 2.49, 1 Hg 2.73, 1 Sn 2.78
4 Ga 0.5000 0.1788 0.8212  3 Ga 2.49-2.75, 2 Hg 2.76
5 Ga 0.1692 0.8525 0.4756  2 Ga 2.49, 1 Hg 2.73, 1 Sn 2.78
6 Ga 0.5000 0.8212 0.1788  3 Ga 2.49-2.75, 2 Hg 2.76
7 Sn 0.0000 0.0000 0.0000  4 Ga 2.78
8 Hg 0.6593 0.6680 0.6680  4 Ga 2.73-2.76
9 Hg 0.3407 0.3320 0.3320  4 Ga 2.73-2.76

---

5.
Density functional theory data (PBE) for an optimized crystal structure of Ga12Sn5Hg3.

Computed properties:
SG	No. 230
ΔE_f	0.156	eV/atom
total DFT energy (no corrections)	-216.45	eV for the cell shown

Unit cell a=13.9210 b=13.9210 c=13.9210 alpha=109.47 beta=109.47 gamma=109.47
With the nearest neighbours (Å) after each atom.
Fractional positions:
1 Hg 0.7500 0.3750 0.1250  4 Ga 2.69
2 Hg 0.8750 0.7500 0.1250  4 Ga 2.69
3 Hg 0.3750 0.7500 0.6250  4 Ga 2.69
4 Hg 0.2500 0.1250 0.3750  4 Ga 2.69
5 Hg 0.8750 0.1250 0.2500  4 Ga 2.69
6 Hg 0.3750 0.6250 0.2500  4 Ga 2.69
7 Hg 0.6250 0.3750 0.7500  4 Ga 2.69
8 Hg 0.1250 0.8750 0.7500  4 Ga 2.69
9 Hg 0.7500 0.8750 0.6250  4 Ga 2.69
10 Hg 0.6250 0.2500 0.3750  4 Ga 2.69
11 Hg 0.1250 0.2500 0.8750  4 Ga 2.69
12 Hg 0.2500 0.6250 0.8750  4 Ga 2.69
13 Sn 0.1250 0.3750 0.2500  4 Ga 2.70
14 Sn 0.0000 0.5000 0.0000  6 Ga 2.82
15 Sn 0.0000 0.0000 0.0000  6 Ga 2.82
16 Sn 0.3750 0.2500 0.1250  4 Ga 2.70
17 Sn 0.5000 0.0000 0.5000  6 Ga 2.82
18 Sn 0.5000 0.5000 0.0000  6 Ga 2.82
19 Sn 0.1250 0.7500 0.3750  4 Ga 2.70
20 Sn 0.7500 0.1250 0.8750  4 Ga 2.70
21 Sn 0.7500 0.6250 0.3750  4 Ga 2.70
22 Sn 0.3750 0.1250 0.7500  4 Ga 2.70
23 Sn 0.6250 0.8750 0.2500  4 Ga 2.70
24 Sn 0.5000 0.5000 0.5000  6 Ga 2.82
25 Sn 0.5000 0.0000 0.0000  6 Ga 2.82
26 Sn 0.0000 0.0000 0.5000  6 Ga 2.82
27 Sn 0.2500 0.3750 0.6250  4 Ga 2.70
28 Sn 0.2500 0.8750 0.1250  4 Ga 2.70
29 Sn 0.0000 0.5000 0.5000  6 Ga 2.82
30 Sn 0.8750 0.2500 0.6250  4 Ga 2.70
31 Sn 0.6250 0.7500 0.8750  4 Ga 2.70
32 Sn 0.8750 0.6250 0.7500  4 Ga 2.70
33 Ga 0.7375 0.1322 0.0664  1 Hg 2.69, 2 Sn 2.70-2.82, 1 Ga 2.96
34 Ga 0.3289 0.5664 0.4342  1 Hg 2.69, 2 Sn 2.70-2.82, 1 Ga 2.96
35 Ga 0.9336 0.3678 0.2625  1 Hg 2.69, 2 Sn 2.70-2.82, 1 Ga 2.96
36 Ga 0.5664 0.2375 0.1322  1 Hg 2.69, 2 Sn 2.70-2.82, 1 Ga 2.96
37 Ga 0.6053 0.7375 0.6711  1 Hg 2.69, 2 Sn 2.70-2.82, 1 Ga 2.96
38 Ga 0.9336 0.5658 0.1711  1 Hg 2.69, 2 Sn 2.70-2.82, 1 Ga 2.96
39 Ga 0.3289 0.7625 0.3947  1 Hg 2.69, 2 Sn 2.70-2.82, 1 Ga 2.96
40 Ga 0.0658 0.8947 0.1322  1 Hg 2.69, 2 Sn 2.70-2.82, 1 Ga 2.96
41 Ga 0.5658 0.9336 0.6711  1 Hg 2.69, 2 Sn 2.70-2.82, 1 Ga 2.96
42 Ga 0.7375 0.6053 0.1711  1 Hg 2.69, 2 Sn 2.70-2.82, 1 Ga 2.96
43 Ga 0.7625 0.4336 0.3678  1 Hg 2.69, 2 Sn 2.70-2.82, 1 Ga 2.96
44 Ga 0.8289 0.9342 0.0664  1 Hg 2.69, 2 Sn 2.70-2.82, 1 Ga 2.96
45 Ga 0.1322 0.7375 0.5664  1 Hg 2.69, 2 Sn 2.70-2.82, 1 Ga 2.96
46 Ga 0.3678 0.4342 0.1053  1 Hg 2.69, 2 Sn 2.70-2.82, 1 Ga 2.96
47 Ga 0.1053 0.9342 0.3678  1 Hg 2.69, 2 Sn 2.70-2.82, 1 Ga 2.96
48 Ga 0.3947 0.1322 0.5658  1 Hg 2.69, 2 Sn 2.70-2.82, 1 Ga 2.96
49 Ga 0.1053 0.1711 0.2375  1 Hg 2.69, 2 Sn 2.70-2.82, 1 Ga 2.96
50 Ga 0.4336 0.6711 0.0658  1 Hg 2.69, 2 Sn 2.70-2.82, 1 Ga 2.96
51 Ga 0.8289 0.8947 0.2625  1 Hg 2.69, 2 Sn 2.70-2.82, 1 Ga 2.96
52 Ga 0.1322 0.3947 0.0658  1 Hg 2.69, 2 Sn 2.70-2.82, 1 Ga 2.96
53 Ga 0.3678 0.9336 0.7625  1 Hg 2.69, 2 Sn 2.70-2.82, 1 Ga 2.96
54 Ga 0.5658 0.6322 0.3947  1 Hg 2.69, 2 Sn 2.70-2.82, 1 Ga 2.96
55 Ga 0.9342 0.8289 0.5664  1 Hg 2.69, 2 Sn 2.70-2.82, 1 Ga 2.96
56 Ga 0.7625 0.3289 0.8947  1 Hg 2.69, 2 Sn 2.70-2.82, 1 Ga 2.96
57 Ga 0.4342 0.3678 0.6053  1 Hg 2.69, 2 Sn 2.70-2.82, 1 Ga 2.96
58 Ga 0.0658 0.1711 0.4336  1 Hg 2.69, 2 Sn 2.70-2.82, 1 Ga 2.96
59 Ga 0.2375 0.6711 0.1053  1 Hg 2.69, 2 Sn 2.70-2.82, 1 Ga 2.96
60 Ga 0.1711 0.1053 0.7375  1 Hg 2.69, 2 Sn 2.70-2.82, 1 Ga 2.96
61 Ga 0.6322 0.0664 0.2375  1 Hg 2.69, 2 Sn 2.70-2.82, 1 Ga 2.96
62 Ga 0.8678 0.6053 0.9342  1 Hg 2.69, 2 Sn 2.70-2.82, 1 Ga 2.96
63 Ga 0.5664 0.3289 0.9342  1 Hg 2.69, 2 Sn 2.70-2.82, 1 Ga 2.96
64 Ga 0.6053 0.8678 0.4342  1 Hg 2.69, 2 Sn 2.70-2.82, 1 Ga 2.96
65 Ga 0.8947 0.8289 0.7625  1 Hg 2.69, 2 Sn 2.70-2.82, 1 Ga 2.96
66 Ga 0.8947 0.0658 0.6322  1 Hg 2.69, 2 Sn 2.70-2.82, 1 Ga 2.96
67 Ga 0.8678 0.2625 0.4336  1 Hg 2.69, 2 Sn 2.70-2.82, 1 Ga 2.96
68 Ga 0.1711 0.0658 0.9336  1 Hg 2.69, 2 Sn 2.70-2.82, 1 Ga 2.96
69 Ga 0.6322 0.5658 0.8947  1 Hg 2.69, 2 Sn 2.70-2.82, 1 Ga 2.96
70 Ga 0.4342 0.0664 0.3289  1 Hg 2.69, 2 Sn 2.70-2.82, 1 Ga 2.96
71 Ga 0.2625 0.3947 0.8289  1 Hg 2.69, 2 Sn 2.70-2.82, 1 Ga 2.96
72 Ga 0.2375 0.5664 0.6322  1 Hg 2.69, 2 Sn 2.70-2.82, 1 Ga 2.96
73 Ga 0.9342 0.1053 0.8678  1 Hg 2.69, 2 Sn 2.70-2.82, 1 Ga 2.96
74 Ga 0.6711 0.2375 0.6053  1 Hg 2.69, 2 Sn 2.70-2.82, 1 Ga 2.96
75 Ga 0.4336 0.7625 0.8678  1 Hg 2.69, 2 Sn 2.70-2.82, 1 Ga 2.96
76 Ga 0.0664 0.4342 0.8289  1 Hg 2.69, 2 Sn 2.70-2.82, 1 Ga 2.96
77 Ga 0.3947 0.2625 0.3289  1 Hg 2.69, 2 Sn 2.70-2.82, 1 Ga 2.96
78 Ga 0.0664 0.6322 0.7375  1 Hg 2.69, 2 Sn 2.70-2.82, 1 Ga 2.96
79 Ga 0.6711 0.4336 0.5658  1 Hg 2.69, 2 Sn 2.70-2.82, 1 Ga 2.96
80 Ga 0.2625 0.8678 0.9336  1 Hg 2.69, 2 Sn 2.70-2.82, 1 Ga 2.96

---

6.
Density functional theory data (PBE) for an optimized crystal structure of Ga12Sn3Hg5.

Computed properties:
SG	No. 230
ΔE_f	0.146	eV/atom
total DFT energy (no corrections)	-187.70	eV for the cell shown

Unit cell a=14.0759 b=14.0759 c=14.0759 alpha=109.47 beta=109.47 gamma=109.47
With the nearest neighbours (Å) after each atom.
Fractional positions:
1 Sn 0.7500 0.3750 0.1250  8 Ga 2.88-3.01
2 Sn 0.8750 0.7500 0.1250  8 Ga 2.88-3.01
3 Sn 0.3750 0.7500 0.6250  8 Ga 2.88-3.01
4 Sn 0.2500 0.1250 0.3750  8 Ga 2.88-3.01
5 Sn 0.8750 0.1250 0.2500  8 Ga 2.88-3.01
6 Sn 0.3750 0.6250 0.2500  8 Ga 2.88-3.01
7 Sn 0.6250 0.3750 0.7500  8 Ga 2.88-3.01
8 Sn 0.1250 0.8750 0.7500  8 Ga 2.88-3.01
9 Sn 0.7500 0.8750 0.6250  8 Ga 2.88-3.01
10 Sn 0.6250 0.2500 0.3750  8 Ga 2.88-3.01
11 Sn 0.1250 0.2500 0.8750  8 Ga 2.88-3.01
12 Sn 0.2500 0.6250 0.8750  8 Ga 2.88-3.01
13 Hg 0.1250 0.3750 0.2500  4 Ga 2.71
14 Hg 0.0000 0.5000 0.0000  6 Ga 2.77
15 Hg 0.0000 0.0000 0.0000  6 Ga 2.77
16 Hg 0.3750 0.2500 0.1250  4 Ga 2.71
17 Hg 0.5000 0.0000 0.5000  6 Ga 2.77
18 Hg 0.5000 0.5000 0.0000  6 Ga 2.77
19 Hg 0.1250 0.7500 0.3750  4 Ga 2.71
20 Hg 0.7500 0.1250 0.8750  4 Ga 2.71
21 Hg 0.7500 0.6250 0.3750  4 Ga 2.71
22 Hg 0.3750 0.1250 0.7500  4 Ga 2.71
23 Hg 0.6250 0.8750 0.2500  4 Ga 2.71
24 Hg 0.5000 0.5000 0.5000  6 Ga 2.77
25 Hg 0.5000 0.0000 0.0000  6 Ga 2.77
26 Hg 0.0000 0.0000 0.5000  6 Ga 2.77
27 Hg 0.2500 0.3750 0.6250  4 Ga 2.71
28 Hg 0.2500 0.8750 0.1250  4 Ga 2.71
29 Hg 0.0000 0.5000 0.5000  6 Ga 2.77
30 Hg 0.8750 0.2500 0.6250  4 Ga 2.71
31 Hg 0.6250 0.7500 0.8750  4 Ga 2.71
32 Hg 0.8750 0.6250 0.7500  4 Ga 2.71
33 Ga 0.7276 0.1392 0.0627  2 Hg 2.71-2.77, 2 Sn 2.88-3.01, 1 Ga 3.01
34 Ga 0.3351 0.5627 0.4236  2 Hg 2.71-2.77, 2 Sn 2.88-3.01, 1 Ga 3.01
35 Ga 0.9373 0.3608 0.2724  2 Hg 2.71-2.77, 2 Sn 2.88-3.01, 1 Ga 3.01
36 Ga 0.5627 0.2276 0.1392  2 Hg 2.71-2.77, 2 Sn 2.88-3.01, 1 Ga 3.01
37 Ga 0.5885 0.7276 0.6649  2 Hg 2.71-2.77, 2 Sn 2.88-3.01, 1 Ga 3.01
38 Ga 0.9373 0.5764 0.1649  2 Hg 2.71-2.77, 2 Sn 2.88-3.01, 1 Ga 3.01
39 Ga 0.3351 0.7724 0.4115  2 Hg 2.71-2.77, 2 Sn 2.88-3.01, 1 Ga 3.01
40 Ga 0.0764 0.9115 0.1392  2 Hg 2.71-2.77, 2 Sn 2.88-3.01, 1 Ga 3.01
41 Ga 0.5764 0.9373 0.6649  2 Hg 2.71-2.77, 2 Sn 2.88-3.01, 1 Ga 3.01
42 Ga 0.7276 0.5885 0.1649  2 Hg 2.71-2.77, 2 Sn 2.88-3.01, 1 Ga 3.01
43 Ga 0.7724 0.4373 0.3608  2 Hg 2.71-2.77, 2 Sn 2.88-3.01, 1 Ga 3.01
44 Ga 0.8351 0.9236 0.0627  2 Hg 2.71-2.77, 2 Sn 2.88-3.01, 1 Ga 3.01
45 Ga 0.1392 0.7276 0.5627  2 Hg 2.71-2.77, 2 Sn 2.88-3.01, 1 Ga 3.01
46 Ga 0.3608 0.4236 0.0885  2 Hg 2.71-2.77, 2 Sn 2.88-3.01, 1 Ga 3.01
47 Ga 0.0885 0.9236 0.3608  2 Hg 2.71-2.77, 2 Sn 2.88-3.01, 1 Ga 3.01
48 Ga 0.4115 0.1392 0.5764  2 Hg 2.71-2.77, 2 Sn 2.88-3.01, 1 Ga 3.01
49 Ga 0.0885 0.1649 0.2276  2 Hg 2.71-2.77, 2 Sn 2.88-3.01, 1 Ga 3.01
50 Ga 0.4373 0.6649 0.0764  2 Hg 2.71-2.77, 2 Sn 2.88-3.01, 1 Ga 3.01
51 Ga 0.8351 0.9115 0.2724  2 Hg 2.71-2.77, 2 Sn 2.88-3.01, 1 Ga 3.01
52 Ga 0.1392 0.4115 0.0764  2 Hg 2.71-2.77, 2 Sn 2.88-3.01, 1 Ga 3.01
53 Ga 0.3608 0.9373 0.7724  2 Hg 2.71-2.77, 2 Sn 2.88-3.01, 1 Ga 3.01
54 Ga 0.5764 0.6392 0.4115  2 Hg 2.71-2.77, 2 Sn 2.88-3.01, 1 Ga 3.01
55 Ga 0.9236 0.8351 0.5627  2 Hg 2.71-2.77, 2 Sn 2.88-3.01, 1 Ga 3.01
56 Ga 0.7724 0.3351 0.9115  2 Hg 2.71-2.77, 2 Sn 2.88-3.01, 1 Ga 3.01
57 Ga 0.4236 0.3608 0.5885  2 Hg 2.71-2.77, 2 Sn 2.88-3.01, 1 Ga 3.01
58 Ga 0.0764 0.1649 0.4373  2 Hg 2.71-2.77, 2 Sn 2.88-3.01, 1 Ga 3.01
59 Ga 0.2276 0.6649 0.0885  2 Hg 2.71-2.77, 2 Sn 2.88-3.01, 1 Ga 3.01
60 Ga 0.1649 0.0885 0.7276  2 Hg 2.71-2.77, 2 Sn 2.88-3.01, 1 Ga 3.01
61 Ga 0.6392 0.0627 0.2276  2 Hg 2.71-2.77, 2 Sn 2.88-3.01, 1 Ga 3.01
62 Ga 0.8608 0.5885 0.9236  2 Hg 2.71-2.77, 2 Sn 2.88-3.01, 1 Ga 3.01
63 Ga 0.5627 0.3351 0.9236  2 Hg 2.71-2.77, 2 Sn 2.88-3.01, 1 Ga 3.01
64 Ga 0.5885 0.8608 0.4236  2 Hg 2.71-2.77, 2 Sn 2.88-3.01, 1 Ga 3.01
65 Ga 0.9115 0.8351 0.7724  2 Hg 2.71-2.77, 2 Sn 2.88-3.01, 1 Ga 3.01
66 Ga 0.9115 0.0764 0.6392  2 Hg 2.71-2.77, 2 Sn 2.88-3.01, 1 Ga 3.01
67 Ga 0.8608 0.2724 0.4373  2 Hg 2.71-2.77, 2 Sn 2.88-3.01, 1 Ga 3.01
68 Ga 0.1649 0.0764 0.9373  2 Hg 2.71-2.77, 2 Sn 2.88-3.01, 1 Ga 3.01
69 Ga 0.6392 0.5764 0.9115  2 Hg 2.71-2.77, 2 Sn 2.88-3.01, 1 Ga 3.01
70 Ga 0.4236 0.0627 0.3351  2 Hg 2.71-2.77, 2 Sn 2.88-3.01, 1 Ga 3.01
71 Ga 0.2724 0.4115 0.8351  2 Hg 2.71-2.77, 2 Sn 2.88-3.01, 1 Ga 3.01
72 Ga 0.2276 0.5627 0.6392  2 Hg 2.71-2.77, 2 Sn 2.88-3.01, 1 Ga 3.01
73 Ga 0.9236 0.0885 0.8608  2 Hg 2.71-2.77, 2 Sn 2.88-3.01, 1 Ga 3.01
74 Ga 0.6649 0.2276 0.5885  2 Hg 2.71-2.77, 2 Sn 2.88-3.01, 1 Ga 3.01
75 Ga 0.4373 0.7724 0.8608  2 Hg 2.71-2.77, 2 Sn 2.88-3.01, 1 Ga 3.01
76 Ga 0.0627 0.4236 0.8351  2 Hg 2.71-2.77, 2 Sn 2.88-3.01, 1 Ga 3.01
77 Ga 0.4115 0.2724 0.3351  2 Hg 2.71-2.77, 2 Sn 2.88-3.01, 1 Ga 3.01
78 Ga 0.0627 0.6392 0.7276  2 Hg 2.71-2.77, 2 Sn 2.88-3.01, 1 Ga 3.01
79 Ga 0.6649 0.4373 0.5764  2 Hg 2.71-2.77, 2 Sn 2.88-3.01, 1 Ga 3.01
80 Ga 0.2724 0.8608 0.9373  2 Hg 2.71-2.77, 2 Sn 2.88-3.01, 1 Ga 3.01